Entry 1:
Crystalline Sc5Rh at its relaxed geometry. Source: Alexandria, functional PBEsol.

a b c (Å): 5.7111 5.7111 7.4758
angles (deg): 110.21 110.21 33.75
Positions (direct):
Sc  0.0000  0.0000  0.0000
Sc  0.3327  0.3327  0.2029
Sc  0.3622  0.3622  0.6332
Sc  0.6378  0.6378  0.3668
Sc  0.6673  0.6673  0.7971
Rh  0.0000  0.0000  0.5000

Computed properties:
energy relative to the elements: -312 meV/atom



Entry 2:
Crystalline Sc5Rh3 at its relaxed geometry. Source: Alexandria, functional PBEsol.

a b c (Å): 5.7147 5.7147 4.4787
angles (deg): 90.00 90.00 107.28
Positions (direct):
Sc  0.0000  0.0000  0.0000
Sc  0.0000  0.5000  0.0000
Sc  0.2771  0.2771  0.5000
Sc  0.5000  0.0000  0.0000
Sc  0.7229  0.7229  0.5000
Rh  0.2315  0.7685  0.5000
Rh  0.5000  0.5000  0.0000
Rh  0.7685  0.2315  0.5000

Computed properties:
energy relative to the elements: -670 meV/atom



Entry 3:
Crystalline Sc5Rh3 at its relaxed geometry. Source: Alexandria, functional PBEsol.

a b c (Å): 7.7080 7.7080 5.6661
angles (deg): 90.00 90.00 120.00
Positions (direct):
Sc  0.0000  0.2420  0.2500
Sc  0.0000  0.7580  0.7500
Sc  0.2420  0.0000  0.2500
Sc  0.2420  0.2420  0.7500
Sc  0.3333  0.6667  0.0000
Sc  0.3333  0.6667  0.5000
Sc  0.6667  0.3333  0.0000
Sc  0.6667  0.3333  0.5000
Sc  0.7580  0.0000  0.7500
Sc  0.7580  0.7580  0.2500
Rh  0.0000  0.4047  0.7500
Rh  0.0000  0.5953  0.2500
Rh  0.4047  0.0000  0.7500
Rh  0.4047  0.4047  0.2500
Rh  0.5953  0.0000  0.2500
Rh  0.5953  0.5953  0.7500

Computed properties:
energy relative to the elements: -729 meV/atom



Entry 4:
Crystalline Sc5Rh at its relaxed geometry. Source: Alexandria, functional PBEsol.

a b c (Å): 7.4795 7.4795 4.8845
angles (deg): 90.00 90.00 152.79
Positions (direct):
Sc  0.0000  0.0000  0.0000
Sc  0.1393  0.8607  0.5000
Sc  0.3304  0.6696  0.0000
Sc  0.6696  0.3304  0.0000
Sc  0.8607  0.1393  0.5000
Rh  0.5000  0.5000  0.5000

Computed properties:
energy relative to the elements: -235 meV/atom



The energy relative to the lowest polymorph listed for this composition results, record by record, are as follows: 0.000, 0.469, 0.000, 0.460 eV/f.u..